The following is a PBE calculation of crystalline HoNbClO4 at its relaxed geometry, from the Alexandria database.

As for the calculated volume: 271.9 Å³ per cell. The value obtained for the energy is -7.71 eV per atom. The uncorrected formation energy is -2517 meV/atom. The symmetry is C2/m (12). As for the total magnetization: 0.00 Bohr magnetons per cell.

Cell and atoms, written as extended XYZ:
```
14
Lattice="5.918 -3.377 0.000 5.918 3.377 0.000 -1.756 0.000 6.801" Properties=species:S:1:pos:R:3 pbc="T T T"
Ho 1.898 0.000 2.440
Ho 8.182 0.000 4.361
Nb 0.274 0.000 5.278
Nb 9.806 0.000 1.523
Cl 4.558 0.000 4.272
Cl 5.522 0.000 2.529
O 2.974 1.992 2.442
O -0.194 0.000 1.877
O 2.370 0.000 0.289
O 7.106 1.992 4.359
O 2.974 -1.992 2.442
O 7.709 0.000 6.512
O 10.274 0.000 4.924
O 7.106 -1.992 4.359
```